No. 1
! TlCdRh2 | Alexandria | PBE-GGA | relaxed; values from VASP
&SYSTEM
  ibrav = 0, nat = 4, ntyp = 3
/
ATOMIC_SPECIES
Cd 112.41 Cd.upf
Rh 102.91 Rh.upf
Tl 204.38 Tl.upf
ATOMIC_POSITIONS crystal
Cd 0.500 0.000 0.000
Rh 0.000 0.500 0.000
Rh 0.000 0.000 0.500
Tl 0.500 0.500 0.500
CELL_PARAMETERS angstrom
-0.776 0.891 -3.046
-1.849 -4.160 -0.745
-4.082 1.547 1.492
! * E above lowest polymorph: 8 meV/atom
! * DFT total energy: -18.1 eV per cell
! * M_tot: 0.0 Bohr magnetons per cell

---

No. 2
! As2BrClF | Alexandria | PBE-GGA | relaxed; values from VASP
&SYSTEM
  ibrav = 0, nat = 5, ntyp = 4
/
ATOMIC_SPECIES
F 19.00 F.upf
As 74.92 As.upf
Cl 35.45 Cl.upf
Br 79.90 Br.upf
ATOMIC_POSITIONS crystal
F 0.500 0.500 0.500
As 0.000 0.500 0.000
As 0.500 0.000 0.000
Cl 0.000 0.000 0.000
Br 0.000 0.000 0.500
CELL_PARAMETERS angstrom
5.055 0.000 0.000
0.000 5.055 0.000
0.000 0.000 5.147
! * E above lowest polymorph: 393 meV/atom
! * DFT total energy: -10.7 eV per cell
! * formation energy without anion corrections: 805 meV/atom
! * M_tot: 1.8 Bohr magnetons per cell